Arrangement one

This record from Alexandria via LeMat-Bulk describes crystalline TlIrS2N at its relaxed geometry. The functional is PBE-GGA.

a = 4.9948 Å, b = 4.9948 Å, c = 5.2162 Å
α = 90.00°, β = 90.00°, γ = 90.00°
Last column: nearest neighbours and their distance in Å.
Element x y z (fractional)
Tl 0.0000 0.0000 0.0000  4 S 2.50, 2 Ir 2.61
Ir 0.0000 0.0000 0.5000  2 Tl 2.61
S 0.0000 0.5000 0.0000  2 Tl 2.50
S 0.5000 0.0000 0.0000  2 Tl 2.50
N 0.5000 0.5000 0.5000  4 Ir 3.53, 8 S 3.61

Calculated values
* magnetization: 0.000 μB per atom
* DOS(E_F): 12.6 states/eV per cell

***

Arrangement two

This record from Alexandria via LeMat-Bulk describes crystalline TlIrS2N at its relaxed geometry. The functional is PBE-GGA.

a = 5.0272 Å, b = 5.0272 Å, c = 3.7121 Å
α = 90.00°, β = 90.00°, γ = 90.00°
Last column: nearest neighbours and their distance in Å.
Element x y z (fractional)
Tl 0.0000 0.0000 0.0000  8 S 3.12
Ir 0.5000 0.5000 0.0000  2 N 1.86
S 0.0000 0.5000 0.5000  2 N 2.51
S 0.5000 0.0000 0.5000  2 N 2.51
N 0.5000 0.5000 0.5000  2 Ir 1.86

Calculated values
* magnetization: 0.000 μB per atom
* DOS(E_F): 6.5 states/eV per cell

***

Arrangement three

This record from Alexandria via LeMat-Bulk describes crystalline TlIrS2N at its relaxed geometry. The functional is PBE-GGA.

a = 5.1024 Å, b = 5.1024 Å, c = 3.9389 Å
α = 90.00°, β = 90.00°, γ = 90.00°
Last column: nearest neighbours and their distance in Å.
Element x y z (fractional)
Tl 0.0000 0.0000 0.0000  2 N 1.97
Ir 0.5000 0.5000 0.5000  8 S 3.22, 4 N 3.61
S 0.0000 0.5000 0.0000  2 Tl 2.55
S 0.5000 0.0000 0.0000  2 Tl 2.55
N 0.0000 0.0000 0.5000  2 Tl 1.97

Calculated values
* magnetization: 0.023 μB per atom
* DOS(E_F): 8.4 states/eV per cell

***

Calculated relative energies: arrangement one 1970; arrangement two 0; arrangement three 1282, given in meV per atom

***

Arrangement one

This record from Alexandria via LeMat-Bulk describes crystalline YIrSN2 at its relaxed geometry. The functional is PBE-GGA.

a = 4.2836 Å, b = 4.2836 Å, c = 5.4685 Å
α = 90.00°, β = 90.00°, γ = 90.00°
Last column: nearest neighbours and their distance in Å.
Element x y z (fractional)
Y 0.0000 0.0000 0.0000  4 N 2.14
Ir 0.5000 0.5000 0.5000  4 S 3.03
S 0.0000 0.0000 0.5000  2 Y 2.73, 4 Ir 3.03
N 0.0000 0.5000 0.0000  2 Y 2.14
N 0.5000 0.0000 0.0000  2 Y 2.14

Calculated values
* magnetization: 1.071 μB per atom
* DOS(E_F): 6.3 states/eV per cell

***

Arrangement two

This record from Alexandria via LeMat-Bulk describes crystalline YIrSN2 at its relaxed geometry. The functional is PBE-GGA.

a = 3.8951 Å, b = 3.8951 Å, c = 4.9527 Å
α = 90.00°, β = 90.00°, γ = 90.00°
Last column: nearest neighbours and their distance in Å.
Element x y z (fractional)
Y 0.0000 0.0000 0.0000  4 S 2.75
Ir 0.5000 0.5000 0.5000  4 N 1.95
S 0.5000 0.5000 0.0000  2 Ir 2.48, 4 Y 2.75
N 0.0000 0.5000 0.5000  2 Ir 1.95
N 0.5000 0.0000 0.5000  2 Ir 1.95

Calculated values
* magnetization: 0.000 μB per atom
* DOS(E_F): 2.4 states/eV per cell

***

Calculated relative energies: arrangement one 1614; arrangement two 0, given in meV per atom

***

Arrangement one

This record from Alexandria via LeMat-Bulk describes crystalline ZnIrSN2 at its relaxed geometry. The functional is PBE-GGA.

a = 3.7388 Å, b = 3.7388 Å, c = 5.4890 Å
α = 90.00°, β = 90.00°, γ = 90.00°
Last column: nearest neighbours and their distance in Å.
Element x y z (fractional)
Zn 0.0000 0.0000 0.0000  4 S 2.64
Ir 0.5000 0.5000 0.5000  4 N 1.87
S 0.5000 0.5000 0.0000  4 Zn 2.64, 2 Ir 2.74
N 0.0000 0.5000 0.5000  2 Ir 1.87
N 0.5000 0.0000 0.5000  2 Ir 1.87

Calculated values
* magnetization: 0.000 μB per atom
* DOS(E_F): 3.0 states/eV per cell

***

Arrangement two

This record from Alexandria via LeMat-Bulk describes crystalline ZnIrSN2 at its relaxed geometry. The functional is PBE-GGA.

a = 3.7138 Å, b = 3.7138 Å, c = 5.0997 Å
α = 90.00°, β = 90.00°, γ = 90.00°
Last column: nearest neighbours and their distance in Å.
Element x y z (fractional)
Zn 0.0000 0.0000 0.0000  4 N 1.86
Ir 0.5000 0.5000 0.5000  4 S 2.63
S 0.0000 0.0000 0.5000  2 Zn 2.55, 4 Ir 2.63
N 0.0000 0.5000 0.0000  2 Zn 1.86
N 0.5000 0.0000 0.0000  2 Zn 1.86

Calculated values
* magnetization: 0.467 μB per atom
* DOS(E_F): 5.4 states/eV per cell

***

Calculated relative energies: arrangement one 0; arrangement two 1248, given in meV per atom

***

Arrangement one

This record from Alexandria via LeMat-Bulk describes crystalline ZrIrS2N at its relaxed geometry. The functional is PBE-GGA.

a = 4.8568 Å, b = 4.8568 Å, c = 3.6550 Å
α = 90.00°, β = 90.00°, γ = 90.00°
Last column: nearest neighbours and their distance in Å.
Element x y z (fractional)
Zr 0.0000 0.0000 0.0000  8 S 3.04
Ir 0.5000 0.5000 0.5000  2 N 1.83
S 0.0000 0.5000 0.5000  2 Ir 2.43
S 0.5000 0.0000 0.5000  2 Ir 2.43
N 0.5000 0.5000 0.0000  2 Ir 1.83

Calculated values
* magnetization: 0.177 μB per atom
* DOS(E_F): 3.9 states/eV per cell

***

Arrangement two

This record from Alexandria via LeMat-Bulk describes crystalline ZrIrS2N at its relaxed geometry. The functional is PBE-GGA.

a = 5.0018 Å, b = 5.0018 Å, c = 4.0214 Å
α = 90.00°, β = 90.00°, γ = 90.00°
Last column: nearest neighbours and their distance in Å.
Element x y z (fractional)
Zr 0.0000 0.0000 0.0000  2 N 2.01
Ir 0.5000 0.5000 0.5000  8 S 3.21, 4 N 3.54
S 0.0000 0.5000 0.0000  2 Zr 2.50
S 0.5000 0.0000 0.0000  2 Zr 2.50
N 0.0000 0.0000 0.5000  2 Zr 2.01

Calculated values
* magnetization: 0.508 μB per atom
* DOS(E_F): 6.3 states/eV per cell

***

Calculated relative energies: arrangement one 0; arrangement two 738, given in meV per atom